Here is TlCoTcMo after structural relaxation from the Open Quantum Materials Database. Energies are from PBE-GGA.

abc: 6.3104 6.3104 6.3104
angles: 90.00 90.00 90.00
Fractional coordinates of all 16 atoms:
Tl 0.0000 0.0000 0.0000
Tl 0.0000 0.5000 0.5000
Tl 0.5000 0.0000 0.5000
Tl 0.5000 0.5000 0.0000
Co 0.2500 0.2500 0.2500
Co 0.2500 0.7500 0.7500
Co 0.7500 0.2500 0.7500
Co 0.7500 0.7500 0.2500
Tc 0.2500 0.2500 0.7500
Tc 0.2500 0.7500 0.2500
Tc 0.7500 0.2500 0.2500
Tc 0.7500 0.7500 0.7500
Mo 0.0000 0.0000 0.5000
Mo 0.0000 0.5000 0.0000
Mo 0.5000 0.0000 0.0000
Mo 0.5000 0.5000 0.5000

Computed properties:
symmetry = F-43m
VASP energy = -7.13 eV/atom
crystal system = cubic
energy relative to the lowest polymorph listed for this composition = 0 meV per atom